{
  "formula": "ScTiAl4",
  "functional": "PBE",
  "state": "optimized geometry",
  "dft_energy_ev_per_cell": -31.6,
  "magmom_total_mub_per_atom": 0.000,
  "spacegroup": "F-43m, No. 216",
  "lattice_angstrom": [[-4.105, -3.273, -0.119], [0.167, -4.519, 2.670], [-2.978, -0.633, 4.279]],
  "species": ["Ti", "Al", "Sc", "Al", "Al", "Al"],
  "frac_coords": [[0.000, 0.000, 0.000], [0.625, 0.124, 0.625], [0.250, 0.250, 0.250], [0.625, 0.625, 0.124], [0.124, 0.625, 0.625], [0.625, 0.625, 0.625]]
}